# 1
NbCO2F | PBE | relaxed

The calculation puts the total magnetization at 1.9 μB per cell. The volume is 13.02 Å³/atom. The calculation puts the mass density at 4.0 g/cm3. As for the formation energy from raw total energies: -0.505 eV per atom. Its total energy is -6.721 eV per atom. The density of states at the Fermi level comes out at 3.53 states/eV/f.u.

The space group is P4/mmm (No. 123) and the conventional cell measures 3.9627, 3.9627 and 4.1470 Å, with angles of 90.00, 90.00 and 90.00 degrees. Symmetry generates all atoms from Nb at (0.0000, 0.0000, 0.0000), C at (0.5000, 0.5000, 0.5000), O at (0.0000, 0.5000, 0.0000) and F at (0.0000, 0.0000, 0.5000).


# 2
NbCO2F | PBE | relaxed

The calculation puts the total magnetization at 2.1 μB per cell. The volume is 9.81 Å³/atom. The calculation puts the mass density at 5.3 g/cm3. As for the formation energy from raw total energies: 0.349 eV per atom. Its total energy is -5.867 eV per atom. The density of states at the Fermi level comes out at 3.39 states/eV/f.u.

The space group is P4/mmm (No. 123) and the conventional cell measures 3.7673, 3.7673 and 3.4545 Å, with angles of 90.00, 90.00 and 90.00 degrees. Symmetry generates all atoms from Nb at (0.0000, 0.0000, 0.0000), C at (0.5000, 0.5000, 0.5000), O at (0.0000, 0.5000, 0.5000) and F at (0.5000, 0.5000, 0.0000).


# 3
Rb2NbCF6 | PBE | relaxed

The calculation puts the total magnetization at 6.0 μB per cell. The volume is 22.07 Å³/atom. The calculation puts the mass density at 2.9 g/cm3. As for the formation energy from raw total energies: -1.865 eV per atom. Its total energy is -5.110 eV per atom. The density of states at the Fermi level comes out at 10.25 states/eV/f.u.

The space group is I4/mmm (No. 139) and the conventional cell measures 6.7438, 6.7438 and 9.7055 Å, with angles of 90.00, 90.00 and 90.00 degrees. Symmetry generates all atoms from Rb at (0.0000, 0.5000, 0.2500), Nb at (0.0000, 0.0000, 0.0000), C at (0.0000, 0.0000, 0.5000), F at (0.0000, 0.0000, 0.2035) and F at (0.2068, 0.2068, 0.0000).


# 4
Nb2SnCF | PBE | relaxed

The calculation puts the total magnetization at 0.0 μB per cell. The volume is 17.01 Å³/atom. The calculation puts the mass density at 6.6 g/cm3. As for the formation energy from raw total energies: 0.309 eV per atom. Its total energy is -6.739 eV per atom. The density of states at the Fermi level comes out at 4.28 states/eV/f.u.

The space group is P4/mmm (No. 123) and the conventional cell measures 4.3253, 4.3253 and 4.5469 Å, with angles of 90.00, 90.00 and 90.00 degrees. Symmetry generates all atoms from Nb at (0.0000, 0.5000, 0.0000), Sn at (0.0000, 0.0000, 0.5000), C at (0.0000, 0.0000, 0.0000) and F at (0.5000, 0.5000, 0.5000).


# 5
NbTe2CF | PBE | relaxed

The calculation puts the total magnetization at 0.0 μB per cell. The volume is 23.61 Å³/atom. The calculation puts the mass density at 5.3 g/cm3. As for the formation energy from raw total energies: 0.464 eV per atom. Its total energy is -5.025 eV per atom. The density of states at the Fermi level comes out at 4.93 states/eV/f.u.

The space group is P4/mmm (No. 123) and the conventional cell measures 5.3452, 5.3452 and 4.1314 Å, with angles of 90.00, 90.00 and 90.00 degrees. Symmetry generates all atoms from Nb at (0.0000, 0.0000, 0.0000), Te at (0.0000, 0.5000, 0.0000), C at (0.0000, 0.0000, 0.5000) and F at (0.5000, 0.5000, 0.5000).


# 6
YNb2CF | PBE | relaxed

The calculation puts the total magnetization at 2.0 μB per cell. The volume is 18.90 Å³/atom. The calculation puts the mass density at 5.4 g/cm3. As for the formation energy from raw total energies: -0.124 eV per atom. Its total energy is -7.663 eV per atom. The density of states at the Fermi level comes out at 5.44 states/eV/f.u.

The space group is P4/mmm (No. 123) and the conventional cell measures 4.1982, 4.1982 and 5.3612 Å, with angles of 90.00, 90.00 and 90.00 degrees. Symmetry generates all atoms from Y at (0.0000, 0.0000, 0.0000), Nb at (0.0000, 0.5000, 0.5000), C at (0.0000, 0.0000, 0.5000) and F at (0.5000, 0.5000, 0.0000).


Question: Which of these has the lowest formation energy from raw total energies?
Answer: Rb2NbCF6